No. 1
Here is a PBEsol-optimized structure of CrInOF2 from the Alexandria database. Energies are from SCAN.

a b c (Å): 3.6681 4.2306 4.2306
angles (deg): 90.00 90.00 90.00
Closest atoms and distances in Å follow each position.
Fractional positions:
Cr  0.0000  0.0000  0.0000  2 O 1.83
In  0.5000  0.5000  0.5000  8 F 2.80, 4 O 2.99
F  0.0000  0.5000  0.0000  2 Cr 2.12
F  0.0000  0.0000  0.5000  2 Cr 2.12
O  0.5000  0.0000  0.0000  2 Cr 1.83

Calculated values
- Magnetic moment: 0.60 μB/atom
- ΔE_f (raw): -2.063 eV per atom
- Raw total energy: -15.080 eV per atom



No. 2
Here is a PBEsol-optimized structure of SrBeZn2Si from the Alexandria database. Energies are from SCAN.

a b c (Å): 5.5867 5.6256 5.6256
angles (deg): 90.00 90.00 90.00
Closest atoms and distances in Å follow each position.
Fractional positions:
Si  0.5000  0.0000  0.0000  2 Sr 2.79
Zn  0.0000  0.0000  0.5000  2 Sr 2.81
Be  0.5000  0.5000  0.5000  8 Zn 3.96, 4 Si 3.98
Zn  0.0000  0.5000  0.0000  2 Sr 2.81
Sr  0.0000  0.0000  0.0000  2 Si 2.79, 4 Zn 2.81

Calculated values
- Magnetic moment: 0.00 μB/atom
- ΔE_f (raw): 1.763 eV per atom
- Raw total energy: -10.972 eV per atom



No. 3
Here is a PBEsol-optimized structure of LaZrRh3 from the Alexandria database. Energies are from SCAN.

a b c (Å): 4.7744 4.7744 4.7744
angles (deg): 90.00 90.00 90.00
Closest atoms and distances in Å follow each position.
Fractional positions:
Rh  0.5000  0.0000  0.0000  2 La 2.39
Rh  0.0000  0.0000  0.5000  2 La 2.39
Rh  0.0000  0.5000  0.0000  2 La 2.39
La  0.0000  0.0000  0.0000  6 Rh 2.39
Zr  0.5000  0.5000  0.5000  12 Rh 3.38

Calculated values
- Magnetic moment: 0.00 μB/atom
- Calculated formation energy: 0.838 eV per atom
- Raw total energy: -34.185 eV per atom



No. 4
Here is a PBEsol-optimized structure of Li2CuRh from the Alexandria database. Energies are from SCAN.

a b c (Å): 2.4833 3.9977 5.1124
angles (deg): 90.00 90.00 90.00
Closest atoms and distances in Å follow each position.
Fractional positions:
Cu  0.5000  0.5000  0.5000  2 Cu 2.48, 2 Rh 2.56, 8 Li 2.70
Rh  0.5000  0.5000  0.0000  2 Rh 2.48, 2 Cu 2.56, 8 Li 2.66
Li  0.0000  0.0000  0.2417  4 Li 2.47-2.64, 4 Rh 2.66, 4 Cu 2.70
Li  0.0000  0.0000  0.7583  4 Li 2.47-2.64, 4 Rh 2.66, 4 Cu 2.70

Calculated values
- Magnetic moment: 0.09 μB/atom
- Calculated formation energy: -0.046 eV per atom
- Raw total energy: -13.484 eV per atom



No. 5
Here is a PBEsol-optimized structure of TeRu2Br from the Alexandria database. Energies are from SCAN.

a b c (Å): 3.7933 3.7933 5.4311
angles (deg): 110.44 110.44 90.00
Closest atoms and distances in Å follow each position.
Fractional positions:
Ru  0.0000  0.0000  0.0000  4 Te 2.68
Te  0.5000  0.5000  0.0000  4 Ru 2.68
Ru  0.7500  0.2500  0.5000  4 Br 2.68
Br  0.2500  0.7500  0.5000  4 Ru 2.68

Calculated values
- Magnetic moment: 0.00 μB/atom
- ΔE_f (raw): 0.983 eV per atom
- Raw total energy: -30.608 eV per atom



No. 6
Here is a PBEsol-optimized structure of As2RuSe from the Alexandria database. Energies are from SCAN.

a b c (Å): 4.4749 4.4749 4.4749
angles (deg): 109.41 109.41 109.59
Closest atoms and distances in Å follow each position.
Fractional positions:
As  0.0000  0.5000  0.5000  2 As 2.58, 2 Ru 2.59, 2 Se 2.59
As  0.5000  0.0000  0.5000  2 As 2.58, 2 Se 2.59, 2 Ru 2.59
Se  0.0000  0.0000  0.0000  2 Ru 2.58, 4 As 2.59
Ru  0.5000  0.5000  0.0000  2 Se 2.58, 4 As 2.59

Calculated values
- Magnetic moment: 0.00 μB/atom
- ΔE_f (raw): 0.176 eV per atom
- Raw total energy: -23.646 eV per atom



No. 7
Here is a PBEsol-optimized structure of CrMo2As from the Alexandria database. Energies are from SCAN.

a b c (Å): 2.9054 2.9054 8.1220
angles (deg): 79.70 79.70 60.00
Closest atoms and distances in Å follow each position.
Fractional positions:
As  0.5000  0.5000  0.5000  6 Mo 2.67, 6 As 2.91
Mo  0.2538  0.2538  0.2386  3 Cr 2.53, 3 As 2.67
Cr  0.0000  0.0000  0.0000  6 Mo 2.53
Mo  0.7462  0.7462  0.7614  3 Cr 2.53, 3 As 2.67

Calculated values
- Magnetic moment: 0.00 μB/atom
- Calculated formation energy: 0.348 eV per atom
- Raw total energy: -26.739 eV per atom



No. 8
Here is a PBEsol-optimized structure of BeFe4Sb from the Alexandria database. Energies are from SCAN.

a b c (Å): 4.7202 4.7202 4.7202
angles (deg): 60.00 60.00 60.00
Closest atoms and distances in Å follow each position.
Fractional positions:
Fe  0.3742  0.3742  0.8775  6 Fe 2.34-2.38
Sb  0.7500  0.7500  0.7500  12 Fe 2.77, 4 Be 2.89
Fe  0.3742  0.3742  0.3742  6 Fe 2.34-2.38
Fe  0.8775  0.3742  0.3742  6 Fe 2.34-2.38
Fe  0.3742  0.8775  0.3742  6 Fe 2.34-2.38
Be  0.0000  0.0000  0.0000  12 Fe 2.77, 4 Sb 2.89

Calculated values
- Magnetic moment: 1.46 μB/atom
- ΔE_f (raw): 0.238 eV per atom
- Raw total energy: -18.784 eV per atom



No. 9
Here is a PBEsol-optimized structure of CaSc3Mn from the Alexandria database. Energies are from SCAN.

a b c (Å): 4.9246 4.9246 4.9246
angles (deg): 90.00 90.00 90.00
Closest atoms and distances in Å follow each position.
Fractional positions:
Sc  0.0000  0.5000  0.0000  2 Mn 2.46
Ca  0.5000  0.5000  0.5000  12 Sc 3.48
Sc  0.5000  0.0000  0.0000  2 Mn 2.46
Sc  0.0000  0.0000  0.5000  2 Mn 2.46
Mn  0.0000  0.0000  0.0000  6 Sc 2.46

Calculated values
- Magnetic moment: 0.00 μB/atom
- Calculated formation energy: 0.152 eV per atom
- Raw total energy: -13.974 eV per atom



No. 10
Here is a PBEsol-optimized structure of Rb2AlCO from the Alexandria database. Energies are from SCAN.

a b c (Å): 3.5756 6.2219 6.2219
angles (deg): 90.00 90.00 90.00
Closest atoms and distances in Å follow each position.
Fractional positions:
Rb  0.0000  0.5000  0.0000  2 Al 3.11
O  0.5000  0.5000  0.5000  2 O 3.58, 8 Rb 3.59
Rb  0.0000  0.0000  0.5000  2 Al 3.11
C  0.5000  0.0000  0.0000  2 Al 1.79
Al  0.0000  0.0000  0.0000  2 C 1.79

Calculated values
- Magnetic moment: 0.20 μB/atom
- ΔE_f (raw): 0.351 eV per atom
- Raw total energy: -12.761 eV per atom



No. 11
Here is a PBEsol-optimized structure of TlTe2Ir from the Alexandria database. Energies are from SCAN.

a b c (Å): 4.0485 4.0485 7.6984
angles (deg): 74.76 74.76 60.00
Closest atoms and distances in Å follow each position.
Fractional positions:
Ir  0.5000  0.5000  0.5000  6 Te 2.67
Te  0.7746  0.7746  0.6763  3 Ir 2.67
Te  0.2254  0.2254  0.3237  3 Ir 2.67
Tl  0.0000  0.0000  0.0000  6 Te 3.33

Calculated values
- Magnetic moment: 0.00 μB/atom
- ΔE_f (raw): -0.268 eV per atom
- Raw total energy: -54.758 eV per atom



No. 12
Here is a PBEsol-optimized structure of SmTiClO3 from the Alexandria database. Energies are from SCAN.

a b c (Å): 3.9323 5.2540 9.9578
angles (deg): 74.83 78.61 68.02
Closest atoms and distances in Å follow each position.
Fractional positions:
Ti  0.3792  0.8081  0.4335  5 O 1.85-2.04
O  0.1682  0.1007  0.5628  3 Ti 2.02-2.09
O  0.8318  0.8993  0.4372  3 Ti 2.02-2.09
Sm  0.7805  0.2352  0.2038  3 O 2.20-2.23
Sm  0.2195  0.7648  0.7962  3 O 2.20-2.23
Ti  0.6208  0.1919  0.5665  5 O 1.85-2.04
Cl  0.8874  0.3223  0.9030  4 Sm 2.88-3.10, 1 O 3.18
O  0.4230  0.5320  0.6221  2 Ti 1.85-2.04
O  0.5770  0.4680  0.3779  2 Ti 1.85-2.04
O  0.6464  0.9625  0.7446  1 Ti 1.86
Cl  0.1126  0.6777  0.0970  4 Sm 2.88-3.10, 1 O 3.18
O  0.3536  0.0375  0.2554  1 Ti 1.86

Calculated values
- Magnetic moment: 0.00 μB/atom
- ΔE_f (raw): -3.376 eV per atom
- Raw total energy: -17.900 eV per atom